Arrangement one

First-principles (PBE-GGA) data for a geometry-optimized ZnInH3 structure, as listed in Alexandria via LeMat-Bulk.

```
data_ZnInH3
_cell_length_a 3.8494
_cell_length_b 3.8494
_cell_length_c 3.8494
_cell_angle_alpha 90.00
_cell_angle_beta 90.00
_cell_angle_gamma 90.00
_space_group_name_H-M_alt 'P 1'
_space_group_IT_number 1
_space_group_name_Hall 'P 1'
loop_
_atom_site_label
_atom_site_type_symbol
_atom_site_fract_x
_atom_site_fract_y
_atom_site_fract_z
H1 H 0.0000 0.0000 0.5000
H2 H 0.5000 0.0000 0.0000
In1 In 0.5000 0.5000 0.5000
H3 H 0.0000 0.5000 0.0000
Zn1 Zn 0.0000 0.0000 0.0000
```

**DOS(E_F)**: 0.74 states/eV/cell

---

Arrangement two

First-principles (PBE-GGA) data for a geometry-optimized ZnInH3 structure, as listed in Alexandria via LeMat-Bulk.

```
data_ZnInH3
_cell_length_a 4.0051
_cell_length_b 4.0051
_cell_length_c 4.0051
_cell_angle_alpha 90.00
_cell_angle_beta 90.00
_cell_angle_gamma 90.00
_space_group_name_H-M_alt 'P 1'
_space_group_IT_number 1
_space_group_name_Hall 'P 1'
loop_
_atom_site_label
_atom_site_type_symbol
_atom_site_fract_x
_atom_site_fract_y
_atom_site_fract_z
H1 H 0.0000 0.0000 0.5000
Zn1 Zn 0.5000 0.5000 0.5000
In1 In 0.0000 0.0000 0.0000
H2 H 0.5000 0.0000 0.0000
H3 H 0.0000 0.5000 0.0000
```

**DOS(E_F)**: 1.07 states/eV/cell

---

Energy ordering: arrangement one at the bottom, the next structure 14.1 kJ/mol of atoms above.